(1)
This record from the Alexandria database describes crystalline CsSr2RuRh at its relaxed geometry. The functional is PBE.

a b c (Å): 5.722 5.722 5.701
angles (deg): 90.00 90.00 90.00
Fractional coordinates of all 5 atoms:
Cs 0.000 0.000 0.000
Sr 0.000 0.500 0.500
Sr 0.500 0.000 0.500
Ru 0.500 0.500 0.000
Rh 0.000 0.000 0.500

Summary:
DFT formation energy = 0.884 eV/atom
Magnetization = 1.9 μB per cell


(2)
This record from the Alexandria database describes crystalline Te2IrI at its relaxed geometry. The functional is PBE.

a b c (Å): 7.192 7.192 7.192
angles (deg): 117.70 117.70 94.03
Fractional coordinates of all 8 atoms:
Te 0.038 0.625 0.913
Te 0.375 0.288 0.413
Te 0.712 0.125 0.087
Te 0.875 0.962 0.587
Ir 0.000 0.000 0.000
Ir 0.750 0.250 0.500
I 0.250 0.750 0.500
I 0.500 0.500 0.000

Summary:
Magnetization = 0.0 μB per cell
Polymorph energy (0 for the lowest one) = 313 meV per atom
Energy relative to the elements, uncorrected = 131.8 meV/atom